No. 1
## TbZrOsAu (PBE-GGA)

Data for a relaxed structure of TbZrOsAu.

```
TbZrOsAu
1.0
0.000 3.435 3.435
3.435 0.000 3.435
3.435 3.435 0.000
Tb Zr Os Au
1 1 1 1
Direct
0.000 0.000 0.000 Tb
0.500 0.500 0.500 Zr
0.250 0.250 0.250 Os
0.750 0.750 0.750 Au
```

Values from the calculation:
crystal system	cubic
DFT formation energy	-1.54	eV/f.u.
DFT total energy	-7.31	eV per atom

***

No. 2
## Sm3Zn2Ru3C (PBE-GGA)

Data for a relaxed structure of Sm3Zn2Ru3C.

```
Sm3Zn2Ru3C
1.0
7.452 0.000 0.000
-3.726 6.453 0.000
0.000 0.000 3.397
Sm Zn Ru C
3 2 3 1
Direct
0.000 0.638 0.000 Sm
0.362 0.362 0.000 Sm
0.638 0.000 0.000 Sm
0.333 0.667 0.500 Zn
0.667 0.333 0.500 Zn
0.000 0.216 0.500 Ru
0.216 0.000 0.500 Ru
0.784 0.784 0.500 Ru
0.000 0.000 0.000 C
```

Values from the calculation:
crystal system	hexagonal
DFT formation energy	-0.40	eV/f.u.
DFT total energy	-6.02	eV per atom

***

No. 3
## Nd2Er3Cd2 (PBE-GGA)

Data for a relaxed structure of Nd2Er3Cd2.

```
Nd2Er3Cd2
1.0
1.782 -16.488 0.000
1.782 16.488 0.000
0.000 0.000 3.521
Nd Er Cd
2 3 2
Direct
0.202 0.798 0.000 Nd
0.798 0.202 0.000 Nd
0.074 0.926 0.000 Er
0.500 0.500 0.500 Er
0.926 0.074 0.000 Er
0.365 0.635 0.500 Cd
0.635 0.365 0.500 Cd
```

Values from the calculation:
crystal system	orthorhombic
energy above the lowest structure with this stoichiometry	27	meV per atom
DFT formation energy	-0.78	eV/f.u.
DFT total energy	-3.69	eV per atom

***

No. 4
## ZrTc3 (PBE-GGA)

Data for a relaxed structure of ZrTc3.

```
ZrTc3
1.0
5.099 0.000 0.000
0.000 5.099 0.000
0.000 0.000 5.099
Zr Tc
2 6
Direct
0.000 0.000 0.000 Zr
0.500 0.500 0.500 Zr
0.000 0.250 0.500 Tc
0.000 0.750 0.500 Tc
0.250 0.500 0.000 Tc
0.500 0.000 0.250 Tc
0.500 0.000 0.750 Tc
0.750 0.500 0.000 Tc
```

Values from the calculation:
crystal system	cubic
DFT formation energy	0.62	eV/f.u.
DFT total energy	-9.76	eV per atom

***

> Which value of DFT formation energy does entry 3 give?

-0.78 eV/f.u.